# 1
{"formula": "Tl2Hg7Au2", "functional": "PBE", "state": "optimized geometry", "cell": [[6.041, 0.430, -2.201], [-0.819, 6.000, -2.201], [-0.697, -0.859, 8.917]], "species": ["Hg", "Tl", "Hg", "Hg", "Hg", "Hg", "Hg", "Au", "Tl", "Au", "Hg"], "frac_coords": [[0.113, 0.480, 0.864], [0.465, 0.465, 0.267], [0.000, 0.000, 0.000], [0.867, 0.867, 0.608], [0.133, 0.133, 0.392], [0.520, 0.887, 0.136], [0.887, 0.520, 0.136], [0.757, 0.243, 0.500], [0.535, 0.535, 0.733], [0.243, 0.757, 0.500], [0.480, 0.113, 0.864]], "space_group": "C2/m, No. 12", "magnetic_moment_mub_per_fu": 0.00, "volume_a3_per_fu": 305, "energy_ev_per_atom": -1.19, "formation_energy_ev_per_atom": 0.033}

***

# 2
{"formula": "Tl3Hg6Au2", "functional": "PBE", "state": "optimized geometry", "cell": [[4.344, 0.000, -0.772], [-0.137, 4.341, -0.772], [0.539, 0.557, 15.642]], "species": ["Hg", "Hg", "Hg", "Tl", "Hg", "Au", "Tl", "Hg", "Tl", "Hg", "Au"], "frac_coords": [[0.893, 0.393, 0.786], [0.316, 0.316, 0.631], [0.393, 0.893, 0.786], [0.208, 0.208, 0.417], [0.607, 0.107, 0.214], [0.544, 0.544, 0.087], [0.792, 0.792, 0.583], [0.107, 0.607, 0.214], [0.000, 0.000, 0.000], [0.684, 0.684, 0.369], [0.456, 0.456, 0.913]], "space_group": "I4/mmm, No. 139", "magnetic_moment_mub_per_fu": 0.00, "volume_a3_per_fu": 299, "energy_ev_per_atom": -1.39, "formation_energy_ev_per_atom": 0.020}

***

# 3
{"formula": "Tl3Hg3Au", "functional": "PBE", "state": "optimized geometry", "cell": [[8.209, 0.344, -2.692], [-4.175, 8.895, -3.735], [0.850, 0.193, 10.477]], "species": ["Hg", "Hg", "Tl", "Hg", "Hg", "Au", "Tl", "Tl", "Au", "Hg", "Hg", "Tl", "Tl", "Tl", "Tl", "Hg", "Hg", "Hg", "Hg", "Tl", "Tl", "Hg", "Tl", "Hg", "Au", "Au", "Tl", "Tl"], "frac_coords": [[0.966, 0.330, 0.996], [0.750, 0.686, 0.814], [0.989, 0.569, 0.318], [0.322, 0.557, 0.542], [0.445, 0.787, 0.946], [0.750, 0.509, 0.991], [0.250, 0.292, 0.208], [0.503, 0.046, 0.271], [0.119, 0.002, 0.238], [0.110, 0.163, 0.779], [0.055, 0.554, 0.713], [0.829, 0.027, 0.027], [0.784, 0.810, 0.208], [0.997, 0.229, 0.454], [0.511, 0.182, 0.931], [0.178, 0.958, 0.943], [0.750, 0.981, 0.519], [0.547, 0.889, 0.702], [0.390, 0.721, 0.337], [0.386, 0.440, 0.806], [0.114, 0.694, 0.060], [0.953, 0.798, 0.611], [0.250, 0.977, 0.523], [0.534, 0.504, 0.170], [0.750, 0.267, 0.233], [0.381, 0.262, 0.498], [0.671, 0.473, 0.473], [0.716, 0.292, 0.690]], "de_polymorph_mev_per_atom": 0, "space_group": "C2, No. 5", "magnetic_moment_mub_per_fu": 0.00, "volume_a3_per_fu": 202, "energy_ev_per_atom": -1.62, "formation_energy_ev_per_atom": -0.008}

***

# 4
{"formula": "TlHgAu", "functional": "PBE", "state": "optimized geometry", "cell": [[5.760, 0.000, 0.000], [0.000, 5.986, -2.600], [0.000, 0.018, 8.921]], "species": ["Tl", "Au", "Au", "Tl", "Au", "Hg", "Tl", "Hg", "Au", "Tl", "Hg", "Hg"], "frac_coords": [[0.628, 0.331, 0.625], [0.861, 0.667, 0.482], [0.639, 0.667, 0.982], [0.128, 0.669, 0.875], [0.361, 0.333, 0.018], [0.387, 0.066, 0.215], [0.372, 0.669, 0.375], [0.887, 0.934, 0.285], [0.139, 0.333, 0.518], [0.872, 0.331, 0.125], [0.613, 0.934, 0.785], [0.113, 0.066, 0.715]], "de_polymorph_mev_per_atom": 8, "space_group": "P2_1/c, No. 14", "magnetic_moment_mub_per_fu": 0.00, "volume_a3_per_fu": 77, "energy_ev_per_atom": -2.00, "formation_energy_ev_per_atom": -0.020}